VASP calculation (GGA-PBE) on a geometry-optimized AlTc2Te structure.

Cell: 4.901 4.901 4.652 Å, 106.98 106.98 37.65°
Fractional positions:
Al: 0.000 0.000 0.000
Tc: 0.260 0.260 0.887
Tc: 0.514 0.514 0.517
Te: 0.766 0.766 0.357

space group	Cm, No. 8
energy relative to the elements, uncorrected	28.5	meV per atom